# Sc2TcHRh PBE optimized geometry
# * crystal system: tetragonal
# * uncorrected energy: -36.54 eV for the cell shown
data_Sc2TcHRh
_chemical_formula_sum 'Sc2 Tc1 H1 Rh1'
_cell_length_a 4.567
_cell_length_b 4.567
_cell_length_c 3.402
_cell_angle_alpha 90.00
_cell_angle_beta 90.00
_cell_angle_gamma 90.00
_symmetry_space_group_name_H-M 'P 1'
_symmetry_Int_Tables_number 1
loop_
_symmetry_equiv_pos_as_xyz
'x,y,z'
loop_
_atom_site_label
_atom_site_type_symbol
_atom_site_fract_x
_atom_site_fract_y
_atom_site_fract_z
Sc1 Sc 0.000 0.500 0.000
Sc2 Sc 0.500 0.000 0.000
Tc1 Tc 0.000 0.000 0.500
H1 H 0.000 0.000 0.000
Rh1 Rh 0.500 0.500 0.500


# ScTeHRh2 PBE optimized geometry
# * crystal system: tetragonal
# * uncorrected energy: -30.08 eV for the cell shown
data_ScTeHRh2
_chemical_formula_sum 'Sc1 Te1 H1 Rh2'
_cell_length_a 4.102
_cell_length_b 4.102
_cell_length_c 4.233
_cell_angle_alpha 90.00
_cell_angle_beta 90.00
_cell_angle_gamma 90.00
_symmetry_space_group_name_H-M 'P 1'
_symmetry_Int_Tables_number 1
loop_
_symmetry_equiv_pos_as_xyz
'x,y,z'
loop_
_atom_site_label
_atom_site_type_symbol
_atom_site_fract_x
_atom_site_fract_y
_atom_site_fract_z
Sc1 Sc 0.000 0.000 0.000
Te1 Te 0.500 0.500 0.000
H1 H 0.000 0.000 0.500
Rh1 Rh 0.000 0.500 0.500
Rh2 Rh 0.500 0.000 0.500


# ThScH6Rh2 PBE optimized geometry
# * crystal system: trigonal
# * uncorrected energy: -54.09 eV for the cell shown
data_ThScH6Rh2
_chemical_formula_sum 'Th1 Sc1 H6 Rh2'
_cell_length_a 6.065
_cell_length_b 6.065
_cell_length_c 6.065
_cell_angle_alpha 44.38
_cell_angle_beta 44.38
_cell_angle_gamma 44.38
_symmetry_space_group_name_H-M 'P 1'
_symmetry_Int_Tables_number 1
loop_
_symmetry_equiv_pos_as_xyz
'x,y,z'
loop_
_atom_site_label
_atom_site_type_symbol
_atom_site_fract_x
_atom_site_fract_y
_atom_site_fract_z
Th1 Th 0.000 0.000 0.000
Sc1 Sc 0.500 0.500 0.500
H1 H 0.081 0.552 0.552
H2 H 0.448 0.448 0.919
H3 H 0.448 0.919 0.448
H4 H 0.552 0.081 0.552
H5 H 0.552 0.552 0.081
H6 H 0.919 0.448 0.448
Rh1 Rh 0.212 0.212 0.212
Rh2 Rh 0.788 0.788 0.788


# ScTi2HRh PBE optimized geometry
# * crystal system: tetragonal
# * uncorrected energy: -34.79 eV for the cell shown
data_ScTi2HRh
_chemical_formula_sum 'Sc1 Ti2 H1 Rh1'
_cell_length_a 3.862
_cell_length_b 3.862
_cell_length_c 4.718
_cell_angle_alpha 90.00
_cell_angle_beta 90.00
_cell_angle_gamma 90.00
_symmetry_space_group_name_H-M 'P 1'
_symmetry_Int_Tables_number 1
loop_
_symmetry_equiv_pos_as_xyz
'x,y,z'
loop_
_atom_site_label
_atom_site_type_symbol
_atom_site_fract_x
_atom_site_fract_y
_atom_site_fract_z
Sc1 Sc 0.000 0.000 0.000
Ti1 Ti 0.000 0.500 0.500
Ti2 Ti 0.500 0.000 0.500
H1 H 0.000 0.000 0.500
Rh1 Rh 0.500 0.500 0.000


# Sc2ZnHRh PBE optimized geometry
# * crystal system: tetragonal
# * distance to the lowest polymorph of the same formula: 0.30 eV/f.u.
data_Sc2ZnHRh
_chemical_formula_sum 'Sc2 Zn1 H1 Rh1'
_cell_length_a 4.428
_cell_length_b 4.428
_cell_length_c 3.659
_cell_angle_alpha 90.00
_cell_angle_beta 90.00
_cell_angle_gamma 90.00
_symmetry_space_group_name_H-M 'P 1'
_symmetry_Int_Tables_number 1
loop_
_symmetry_equiv_pos_as_xyz
'x,y,z'
loop_
_atom_site_label
_atom_site_type_symbol
_atom_site_fract_x
_atom_site_fract_y
_atom_site_fract_z
Sc1 Sc 0.000 0.500 0.000
Sc2 Sc 0.500 0.000 0.000
Zn1 Zn 0.000 0.000 0.500
H1 H 0.000 0.000 0.000
Rh1 Rh 0.500 0.500 0.500


# Sc2ZnHRh PBE optimized geometry
# * crystal system: tetragonal
# * distance to the lowest polymorph of the same formula: 0.00 eV/f.u.
data_Sc2ZnHRh
_chemical_formula_sum 'Sc2 Zn1 H1 Rh1'
_cell_length_a 4.501
_cell_length_b 4.501
_cell_length_c 3.652
_cell_angle_alpha 90.00
_cell_angle_beta 90.00
_cell_angle_gamma 90.00
_symmetry_space_group_name_H-M 'P 1'
_symmetry_Int_Tables_number 1
loop_
_symmetry_equiv_pos_as_xyz
'x,y,z'
loop_
_atom_site_label
_atom_site_type_symbol
_atom_site_fract_x
_atom_site_fract_y
_atom_site_fract_z
Sc1 Sc 0.000 0.500 0.000
Sc2 Sc 0.500 0.000 0.000
Zn1 Zn 0.000 0.000 0.500
H1 H 0.500 0.500 0.000
Rh1 Rh 0.500 0.500 0.500


# ScZnHRh2 PBE optimized geometry
# * crystal system: tetragonal
# * distance to the lowest polymorph of the same formula: 0.21 eV/f.u.
data_ScZnHRh2
_chemical_formula_sum 'Sc1 Zn1 H1 Rh2'
_cell_length_a 4.145
_cell_length_b 4.145
_cell_length_c 3.662
_cell_angle_alpha 90.00
_cell_angle_beta 90.00
_cell_angle_gamma 90.00
_symmetry_space_group_name_H-M 'P 1'
_symmetry_Int_Tables_number 1
loop_
_symmetry_equiv_pos_as_xyz
'x,y,z'
loop_
_atom_site_label
_atom_site_type_symbol
_atom_site_fract_x
_atom_site_fract_y
_atom_site_fract_z
Sc1 Sc 0.000 0.000 0.000
Zn1 Zn 0.500 0.500 0.000
H1 H 0.500 0.500 0.500
Rh1 Rh 0.000 0.500 0.500
Rh2 Rh 0.500 0.000 0.500


# ScZnHRh2 PBE optimized geometry
# * crystal system: tetragonal
# * distance to the lowest polymorph of the same formula: 0.00 eV/f.u.
data_ScZnHRh2
_chemical_formula_sum 'Sc1 Zn1 H1 Rh2'
_cell_length_a 4.049
_cell_length_b 4.049
_cell_length_c 3.867
_cell_angle_alpha 90.00
_cell_angle_beta 90.00
_cell_angle_gamma 90.00
_symmetry_space_group_name_H-M 'P 1'
_symmetry_Int_Tables_number 1
loop_
_symmetry_equiv_pos_as_xyz
'x,y,z'
loop_
_atom_site_label
_atom_site_type_symbol
_atom_site_fract_x
_atom_site_fract_y
_atom_site_fract_z
Sc1 Sc 0.000 0.000 0.000
Zn1 Zn 0.500 0.500 0.000
H1 H 0.000 0.000 0.500
Rh1 Rh 0.000 0.500 0.500
Rh2 Rh 0.500 0.000 0.500


# HRhSe2 PBE optimized geometry
# * crystal system: monoclinic
# * distance to the lowest polymorph of the same formula: 0.73 eV/f.u.
data_HRhSe2
_chemical_formula_sum 'H8 Rh8 Se16'
_cell_length_a 6.816
_cell_length_b 6.816
_cell_length_c 13.337
_cell_angle_alpha 100.99
_cell_angle_beta 100.99
_cell_angle_gamma 90.16
_symmetry_space_group_name_H-M 'P 1'
_symmetry_Int_Tables_number 1
loop_
_symmetry_equiv_pos_as_xyz
'x,y,z'
loop_
_atom_site_label
_atom_site_type_symbol
_atom_site_fract_x
_atom_site_fract_y
_atom_site_fract_z
H1 H 0.052 0.150 0.407
H2 H 0.077 0.589 0.356
H3 H 0.150 0.052 0.907
H4 H 0.411 0.923 0.144
H5 H 0.589 0.077 0.856
H6 H 0.850 0.948 0.093
H7 H 0.923 0.411 0.644
H8 H 0.948 0.850 0.593
Rh1 Rh 0.266 0.438 0.831
Rh2 Rh 0.321 0.325 0.622
Rh3 Rh 0.325 0.321 0.122
Rh4 Rh 0.438 0.266 0.331
Rh5 Rh 0.562 0.734 0.669
Rh6 Rh 0.675 0.679 0.878
Rh7 Rh 0.679 0.675 0.378
Rh8 Rh 0.734 0.562 0.169
Se1 Se 0.030 0.240 0.687
Se2 Se 0.035 0.611 0.942
Se3 Se 0.180 0.340 0.440
Se4 Se 0.240 0.030 0.187
Se5 Se 0.273 0.727 0.750
Se6 Se 0.340 0.180 0.940
Se7 Se 0.387 0.613 0.250
Se8 Se 0.389 0.965 0.558
Se9 Se 0.611 0.035 0.442
Se10 Se 0.613 0.387 0.750
Se11 Se 0.660 0.820 0.060
Se12 Se 0.727 0.273 0.250
Se13 Se 0.760 0.970 0.813
Se14 Se 0.820 0.660 0.560
Se15 Se 0.965 0.389 0.058
Se16 Se 0.970 0.760 0.313


# HRhSe3 PBE optimized geometry
# * crystal system: cubic
# * distance to the lowest polymorph of the same formula: 0.00 eV/f.u.
data_HRhSe3
_chemical_formula_sum 'H1 Rh1 Se3'
_cell_length_a 4.245
_cell_length_b 4.245
_cell_length_c 4.245
_cell_angle_alpha 90.00
_cell_angle_beta 90.00
_cell_angle_gamma 90.00
_symmetry_space_group_name_H-M 'P 1'
_symmetry_Int_Tables_number 1
loop_
_symmetry_equiv_pos_as_xyz
'x,y,z'
loop_
_atom_site_label
_atom_site_type_symbol
_atom_site_fract_x
_atom_site_fract_y
_atom_site_fract_z
H1 H 0.000 0.000 0.000
Rh1 Rh 0.500 0.500 0.500
Se1 Se 0.000 0.000 0.500
Se2 Se 0.000 0.500 0.000
Se3 Se 0.500 0.000 0.000


# HRhSe2 PBE optimized geometry
# * crystal system: trigonal
# * distance to the lowest polymorph of the same formula: 0.21 eV/f.u.
data_HRhSe2
_chemical_formula_sum 'H1 Rh1 Se2'
_cell_length_a 3.821
_cell_length_b 3.821
_cell_length_c 5.922
_cell_angle_alpha 90.00
_cell_angle_beta 90.00
_cell_angle_gamma 120.00
_symmetry_space_group_name_H-M 'P 1'
_symmetry_Int_Tables_number 1
loop_
_symmetry_equiv_pos_as_xyz
'x,y,z'
loop_
_atom_site_label
_atom_site_type_symbol
_atom_site_fract_x
_atom_site_fract_y
_atom_site_fract_z
H1 H 0.000 0.000 0.000
Rh1 Rh 0.667 0.333 0.441
Se1 Se 0.000 0.000 0.255
Se2 Se 0.333 0.667 0.660


# HRhSe2 PBE optimized geometry
# * crystal system: tetragonal
# * distance to the lowest polymorph of the same formula: 3.11 eV/f.u.
data_HRhSe2
_chemical_formula_sum 'H2 Rh2 Se4'
_cell_length_a 5.927
_cell_length_b 5.927
_cell_length_c 5.927
_cell_angle_alpha 102.84
_cell_angle_beta 102.84
_cell_angle_gamma 123.74
_symmetry_space_group_name_H-M 'P 1'
_symmetry_Int_Tables_number 1
loop_
_symmetry_equiv_pos_as_xyz
'x,y,z'
loop_
_atom_site_label
_atom_site_type_symbol
_atom_site_fract_x
_atom_site_fract_y
_atom_site_fract_z
H1 H 0.250 0.250 0.000
H2 H 0.750 0.750 0.000
Rh1 Rh 0.250 0.750 0.500
Rh2 Rh 0.750 0.250 0.500
Se1 Se 0.184 0.684 0.869
Se2 Se 0.316 0.184 0.500
Se3 Se 0.684 0.816 0.500
Se4 Se 0.816 0.316 0.131


Please write out number 12 again, unchanged.
# HRhSe2 PBE optimized geometry
# * crystal system: tetragonal
# * distance to the lowest polymorph of the same formula: 3.11 eV/f.u.
data_HRhSe2
_chemical_formula_sum 'H2 Rh2 Se4'
_cell_length_a 5.927
_cell_length_b 5.927
_cell_length_c 5.927
_cell_angle_alpha 102.84
_cell_angle_beta 102.84
_cell_angle_gamma 123.74
_symmetry_space_group_name_H-M 'P 1'
_symmetry_Int_Tables_number 1
loop_
_symmetry_equiv_pos_as_xyz
'x,y,z'
loop_
_atom_site_label
_atom_site_type_symbol
_atom_site_fract_x
_atom_site_fract_y
_atom_site_fract_z
H1 H 0.250 0.250 0.000
H2 H 0.750 0.750 0.000
Rh1 Rh 0.250 0.750 0.500
Rh2 Rh 0.750 0.250 0.500
Se1 Se 0.184 0.684 0.869
Se2 Se 0.316 0.184 0.500
Se3 Se 0.684 0.816 0.500
Se4 Se 0.816 0.316 0.131


Please write out number 3 again, unchanged.
# ThScH6Rh2 PBE optimized geometry
# * crystal system: trigonal
# * uncorrected energy: -54.09 eV for the cell shown
data_ThScH6Rh2
_chemical_formula_sum 'Th1 Sc1 H6 Rh2'
_cell_length_a 6.065
_cell_length_b 6.065
_cell_length_c 6.065
_cell_angle_alpha 44.38
_cell_angle_beta 44.38
_cell_angle_gamma 44.38
_symmetry_space_group_name_H-M 'P 1'
_symmetry_Int_Tables_number 1
loop_
_symmetry_equiv_pos_as_xyz
'x,y,z'
loop_
_atom_site_label
_atom_site_type_symbol
_atom_site_fract_x
_atom_site_fract_y
_atom_site_fract_z
Th1 Th 0.000 0.000 0.000
Sc1 Sc 0.500 0.500 0.500
H1 H 0.081 0.552 0.552
H2 H 0.448 0.448 0.919
H3 H 0.448 0.919 0.448
H4 H 0.552 0.081 0.552
H5 H 0.552 0.552 0.081
H6 H 0.919 0.448 0.448
Rh1 Rh 0.212 0.212 0.212
Rh2 Rh 0.788 0.788 0.788